--- i ---
AsRuS2N (GGA-PBE, relaxed); M_tot = 2.262 Bohr magnetons per cell; crystal system = tetragonal
1.0
4.771 0.000 0.000
0.000 4.771 0.000
0.000 0.000 3.520
As Ru S N
1 1 2 1
direct
0.000 0.000 0.000
0.500 0.500 0.500
0.000 0.500 0.000
0.500 0.000 0.000
0.000 0.000 0.500

--- ii ---
AsRuS2N (GGA-PBE, relaxed); M_tot = 0.000 Bohr magnetons per cell; crystal system = tetragonal
1.0
4.796 0.000 0.000
0.000 4.796 0.000
0.000 0.000 3.649
As Ru S N
1 1 2 1
direct
0.000 0.000 0.000
0.500 0.500 0.500
0.000 0.500 0.500
0.500 0.000 0.500
0.500 0.500 0.000

Stability ranking, top and bottom: ii is the most stable and i is the least stable.

--- i ---
ZrAs2RuN (GGA-PBE, relaxed); M_tot = 3.550 Bohr magnetons per cell; crystal system = tetragonal
1.0
5.202 0.000 0.000
0.000 5.202 0.000
0.000 0.000 4.914
Zr As Ru N
1 2 1 1
direct
0.000 0.000 0.000
0.000 0.500 0.000
0.500 0.000 0.000
0.000 0.000 0.500
0.500 0.500 0.500

--- ii ---
ZrAs2RuN (GGA-PBE, relaxed); M_tot = 2.139 Bohr magnetons per cell; crystal system = tetragonal
1.0
5.239 0.000 0.000
0.000 5.239 0.000
0.000 0.000 4.012
Zr As Ru N
1 2 1 1
direct
0.000 0.000 0.000
0.000 0.500 0.000
0.500 0.000 0.000
0.500 0.500 0.500
0.000 0.000 0.500

Stability ranking, top and bottom: ii is the most stable and i is the least stable.

--- i ---
AsS2N2 (GGA-PBE, relaxed); M_tot = 0.267 Bohr magnetons per cell; crystal system = tetragonal
1.0
3.973 0.000 0.000
0.000 3.973 0.000
0.000 0.000 3.957
As S N
1 2 2
direct
0.000 0.000 0.000
0.000 0.500 0.500
0.500 0.000 0.500
0.500 0.500 0.000
0.500 0.500 0.500

--- ii ---
AsS2N2 (GGA-PBE, relaxed); M_tot = 0.574 Bohr magnetons per cell; crystal system = tetragonal
1.0
3.568 0.000 0.000
0.000 3.568 0.000
0.000 0.000 6.609
As S N
1 2 2
direct
0.000 0.000 0.000
0.000 0.000 0.500
0.500 0.500 0.500
0.000 0.500 0.000
0.500 0.000 0.000

Stability ranking, top and bottom: ii is the most stable and i is the least stable.